Compound: ZnCuRe3
Source: Alexandria via LeMat-Bulk
Functional: GGA-PBE
Structure: optimized geometry

abc: 4.470 4.470 4.470
angles: 90.00 90.00 90.00
Space group Pm-3m (No. 221)
Symmetry-distinct sites (fractional):
Zn 0.000 0.000 0.000 x1
Cu 0.500 0.500 0.500 x1
Re 0.000 0.000 0.500 x3

## Properties
- Fermi-level density of states (states/eV/f.u.) = 5.99
- energy relative to the lowest polymorph listed for this composition (kJ/mol of formula units) = 115